Entry from Alexandria via LeMat-Bulk: a relaxed La2BeTe crystal (PBE-GGA).

Output
* E: -4.6924 eV per atom
* polymorph energy (0 for the lowest one): 0.022 eV/atom
* ΔE_f (raw): -512 meV per atom

Cell: 4.4736 4.4736 6.3286 Å, 90.00 90.00 90.00°
Fractional positions:
Be1 0.5000 0.5000 0.8743
Te1 0.0000 0.0000 0.3754
La1 0.0000 0.0000 0.8753
La2 0.5000 0.5000 0.3750

Entry from Alexandria via LeMat-Bulk: a relaxed LaBe2Te crystal (PBE-GGA).

Output
* E: -3.7040 eV per atom
* ΔE_f (raw): 176 meV per atom

Cell: 7.5921 7.5921 6.2104 Å, 52.32 52.32 90.00°
Fractional positions:
Be1 0.5733 0.1250 0.2500
Be2 0.1767 0.6250 0.2500
Be3 0.3750 0.4267 0.7500
Be4 0.8750 0.8233 0.7500
Te1 0.5000 0.5000 0.0000
Te2 0.2500 0.7500 0.5000
La1 0.0000 0.0000 0.0000
La2 0.7500 0.2500 0.5000

Entry from Alexandria via LeMat-Bulk: a relaxed LaBe2Te crystal (PBE-GGA).

Output
* E: -4.0667 eV per atom
* ΔE_f (raw): -186 meV per atom

Cell: 4.2321 4.2321 6.0604 Å, 75.76 75.76 55.63°
Fractional positions:
Be1 0.0574 0.0574 0.8744
Be2 0.7392 0.7392 0.8914
Te1 0.2392 0.2392 0.1597
La1 0.4643 0.4643 0.5745

Entry from Alexandria via LeMat-Bulk: a relaxed LaBe2Te crystal (PBE-GGA).

Output
* E: -3.6261 eV per atom
* ΔE_f (raw): 254 meV per atom

Cell: 5.3822 5.3822 5.3822 Å, 138.50 121.14 74.58°
Fractional positions:
Be1 0.0302 0.0302 0.0000
Be2 0.4698 0.4698 0.0000
Te1 0.2500 0.7500 0.5000
La1 0.7500 0.2500 0.5000

Entry from Alexandria via LeMat-Bulk: a relaxed La3BeTe crystal (PBE-GGA).

Output
* E: -4.5571 eV per atom
* polymorph energy (0 for the lowest one): 0.000 eV/atom
* ΔE_f (raw): -227 meV per atom

Cell: 5.4130 5.4130 5.4130 Å, 90.00 90.00 90.00°
Fractional positions:
Be1 0.0000 0.0000 0.0000
Te1 0.5000 0.5000 0.5000
La1 0.0000 0.5000 0.0000
La2 0.0000 0.0000 0.5000
La3 0.5000 0.0000 0.0000

Entry from Alexandria via LeMat-Bulk: a relaxed LaBeTe2 crystal (PBE-GGA).

Output
* E: -4.3151 eV per atom
* ΔE_f (raw): -581 meV per atom

Cell: 7.8926 7.8926 7.8926 Å, 29.55 29.55 29.55°
Fractional positions:
Be1 0.5000 0.5000 0.5000
Te1 0.7686 0.7686 0.7686
Te2 0.2314 0.2314 0.2314
La1 0.0000 0.0000 0.0000

Entry from Alexandria via LeMat-Bulk: a relaxed La2BeTe2 crystal (PBE-GGA).

Output
* E: -4.6305 eV per atom
* polymorph energy (0 for the lowest one): 0.000 eV/atom
* ΔE_f (raw): -658 meV per atom

Cell: 8.3922 8.3922 4.2489 Å, 90.00 90.00 90.00°
Fractional positions:
Be1 0.0000 0.0000 0.0000
Be2 0.5000 0.5000 0.0000
Te1 0.3528 0.8528 0.0000
Te2 0.8528 0.6472 0.0000
Te3 0.6472 0.1472 0.0000
Te4 0.1472 0.3528 0.0000
La1 0.1574 0.6574 0.5000
La2 0.6574 0.8426 0.5000
La3 0.8426 0.3426 0.5000
La4 0.3426 0.1574 0.5000

Entry from Alexandria via LeMat-Bulk: a relaxed La2BeTe crystal (PBE-GGA).

Output
* E: -4.6367 eV per atom
* polymorph energy (0 for the lowest one): 0.078 eV/atom
* ΔE_f (raw): -456 meV per atom

Cell: 3.7804 5.4117 5.4117 Å, 90.00 90.00 90.00°
Fractional positions:
Be1 0.5000 0.0000 0.5000
Te1 0.5000 0.5000 0.0000
La1 0.0000 0.0000 0.0000
La2 0.0000 0.5000 0.5000

Entry from Alexandria via LeMat-Bulk: a relaxed LaBe2Te crystal (PBE-GGA).

Output
* E: -3.8429 eV per atom
* ΔE_f (raw): 37 meV per atom

Cell: 4.6834 4.6834 5.4637 Å, 70.02 70.02 48.36°
Fractional positions:
Be1 0.9858 0.9858 0.1326
Be2 0.5142 0.5142 0.3674
Te1 0.2500 0.2500 0.2500
La1 0.7500 0.7500 0.7500

Entry from Alexandria via LeMat-Bulk: a relaxed LaBeTe2 crystal (PBE-GGA).

Output
* E: -4.4686 eV per atom
* ΔE_f (raw): -734 meV per atom

Cell: 7.5145 7.5145 6.5602 Å, 55.06 55.06 90.00°
Fractional positions:
Be1 0.5000 0.5000 0.0000
Be2 0.2500 0.7500 0.5000
Te1 0.5391 0.1250 0.2500
Te2 0.2109 0.6250 0.2500
Te3 0.3750 0.4609 0.7500
Te4 0.8750 0.7891 0.7500
La1 0.0000 0.0000 0.0000
La2 0.7500 0.2500 0.5000

Entry from Alexandria via LeMat-Bulk: a relaxed LaBeTe2 crystal (PBE-GGA).

Output
* E: -4.3516 eV per atom
* ΔE_f (raw): -617 meV per atom

Cell: 3.7790 4.1267 7.2137 Å, 79.94 90.00 90.00°
Fractional positions:
Be1 0.5000 0.2500 0.2500
Te1 0.0000 0.1771 0.0159
Te2 0.0000 0.3229 0.4841
La1 0.5000 0.7500 0.7500

Entry from Alexandria via LeMat-Bulk: a relaxed LaBe2Te crystal (PBE-GGA).

Output
* E: -3.5100 eV per atom
* ΔE_f (raw): 370 meV per atom

Cell: 5.0399 5.0399 5.0399 Å, 60.00 60.00 60.00°
Fractional positions:
Be1 0.0000 0.0000 0.0000
Be2 0.2500 0.2500 0.2500
Te1 0.7500 0.7500 0.7500
La1 0.5000 0.5000 0.5000

Looking at density for the records above, in order, we have 5.43; 5.25; 5.49; 5.47; 5.79; 6.33; 6.02; 6.22; 5.69; 6.16; 6.04; 5.22 Mg/m³.